Record 1
Computed, not measured: a relaxed Ba2TaTeC crystal at the PBE level of DFT.

a = 5.8214 Å, b = 4.5540 Å, c = 5.8214 Å
α = 90.00°, β = 90.00°, γ = 90.00°
Sites, in units of the cell vectors:
Ba 0.5000 0.0000 0.0000
Ba 0.0000 0.0000 0.5000
C 0.0000 0.0000 0.0000
Te 0.0000 0.5000 0.0000
Ta 0.5000 0.5000 0.5000

Output
- space group = P4/mmm (123)
- M_tot (μB per cell) = 3.69
- volume (Å³/f.u.) = 154.3
- total energy (eV per atom) = -4.537
- mass density (kg/m³) = 6404
- crystal system = tetragonal
- ΔE_f (raw) (eV/atom) = 1.076

=====

Record 2
Computed, not measured: a relaxed BaTaVC2 crystal at the PBE level of DFT.

a = 4.4221 Å, b = 5.5697 Å, c = 4.4221 Å
α = 90.00°, β = 90.00°, γ = 90.00°
Sites, in units of the cell vectors:
V 0.5000 0.5000 0.5000
Ba 0.0000 0.0000 0.0000
C 0.5000 0.0000 0.0000
C 0.0000 0.0000 0.5000
Ta 0.0000 0.5000 0.0000

Output
- space group = P4/mmm (123)
- M_tot (μB per cell) = 0.05
- volume (Å³/f.u.) = 108.9
- total energy (eV per atom) = -4.500
- mass density (kg/m³) = 5995
- crystal system = tetragonal

=====

Record 3
Computed, not measured: a relaxed Ba2TaVC crystal at the PBE level of DFT.

a = 6.3230 Å, b = 6.3230 Å, c = 3.7751 Å
α = 90.00°, β = 90.00°, γ = 90.00°
Sites, in units of the cell vectors:
V 0.0000 0.0000 0.0000
Ba 0.0000 0.5000 0.0000
Ba 0.5000 0.0000 0.0000
C 0.0000 0.0000 0.5000
Ta 0.5000 0.5000 0.5000

Output
- space group = P4/mmm (123)
- M_tot (μB per cell) = 3.03
- volume (Å³/f.u.) = 150.9
- total energy (eV per atom) = -5.191
- mass density (kg/m³) = 5705
- crystal system = tetragonal

=====

Record 4
Computed, not measured: a relaxed BaTb2C crystal at the PBE level of DFT.

a = 3.6523 Å, b = 3.6523 Å, c = 10.4992 Å
α = 79.98°, β = 79.98°, γ = 60.00°
Sites, in units of the cell vectors:
C 0.5000 0.5000 0.5000
Ba 0.0000 0.0000 0.0000
Tb 0.1230 0.1230 0.6310
Tb 0.8770 0.8770 0.3690

Output
- space group = R-3m (166)
- M_tot (μB per cell) = 0.00
- volume (Å³/f.u.) = 118.8
- total energy (eV per atom) = -5.140
- mass density (kg/m³) = 6529
- crystal system = trigonal

=====

Record 5
Computed, not measured: a relaxed BaTc3C crystal at the PBE level of DFT.

a = 5.1274 Å, b = 5.1274 Å, c = 5.1274 Å
α = 90.00°, β = 90.00°, γ = 90.00°
Sites, in units of the cell vectors:
Tc 0.0000 0.0000 0.5000
Tc 0.0000 0.5000 0.0000
Tc 0.5000 0.0000 0.0000
Ba 0.0000 0.0000 0.0000
C 0.5000 0.5000 0.5000

Output
- space group = Pm-3m (221)
- energy above the most stable polymorph in this dataset (eV/f.u.) = 16.63
- M_tot (μB per cell) = 6.53
- volume (Å³/f.u.) = 134.8
- total energy (eV per atom) = -4.230
- mass density (kg/m³) = 5461
- crystal system = cubic

=====

Record 6
Computed, not measured: a relaxed BaTcC crystal at the PBE level of DFT.

a = 3.9061 Å, b = 3.9061 Å, c = 9.7425 Å
α = 90.00°, β = 90.00°, γ = 90.00°
Sites, in units of the cell vectors:
Ba 0.5000 0.0000 0.2101
Ba 0.0000 0.5000 0.7899
C 0.0000 0.5000 0.4237
C 0.5000 0.0000 0.5763
Tc 0.5000 0.5000 0.5000
Tc 0.0000 0.0000 0.5000

Output
- space group = P4/nmm (129)
- M_tot (μB per cell) = 0.00
- volume (Å³/f.u.) = 74.3
- total energy (eV per atom) = -7.003
- mass density (kg/m³) = 5526
- crystal system = tetragonal

=====

Record 7
Computed, not measured: a relaxed BaTc3C crystal at the PBE level of DFT.

a = 4.3530 Å, b = 4.3530 Å, c = 4.3530 Å
α = 90.00°, β = 90.00°, γ = 90.00°
Sites, in units of the cell vectors:
Ba 0.5000 0.5000 0.5000
C 0.0000 0.0000 0.0000
Tc 0.0000 0.0000 0.5000
Tc 0.5000 0.0000 0.0000
Tc 0.0000 0.5000 0.0000

Output
- space group = Pm-3m (221)
- energy above the most stable polymorph in this dataset (eV/f.u.) = 0.00
- M_tot (μB per cell) = 2.23
- volume (Å³/f.u.) = 82.5
- total energy (eV per atom) = -7.556
- mass density (kg/m³) = 8925
- crystal system = cubic

=====

Record 8
Computed, not measured: a relaxed BaY2TcC crystal at the PBE level of DFT.

a = 5.2161 Å, b = 5.8599 Å, c = 5.2161 Å
α = 90.00°, β = 90.00°, γ = 90.00°
Sites, in units of the cell vectors:
Y 0.5000 0.0000 0.0000
Y 0.0000 0.0000 0.5000
C 0.5000 0.5000 0.5000
Ba 0.0000 0.5000 0.0000
Tc 0.0000 0.0000 0.0000

Output
- space group = P4/mmm (123)
- M_tot (μB per cell) = 1.00
- volume (Å³/f.u.) = 159.4
- total energy (eV per atom) = -5.476
- mass density (kg/m³) = 4428
- crystal system = tetragonal

=====

Record 9
Computed, not measured: a relaxed Ba3TeC crystal at the PBE level of DFT.

a = 5.6952 Å, b = 5.6952 Å, c = 5.6952 Å
α = 90.00°, β = 90.00°, γ = 90.00°
Sites, in units of the cell vectors:
Ba 0.5000 0.0000 0.0000
Ba 0.0000 0.5000 0.0000
Ba 0.0000 0.0000 0.5000
C 0.0000 0.0000 0.0000
Te 0.5000 0.5000 0.5000

Output
- space group = Pm-3m (221)
- energy above the most stable polymorph in this dataset (eV/f.u.) = 0.00
- M_tot (μB per cell) = 0.00
- volume (Å³/f.u.) = 184.7
- total energy (eV per atom) = -3.878
- mass density (kg/m³) = 4958
- crystal system = cubic
- ΔE_f (raw) (eV/atom) = -0.251

=====

Record 10
Computed, not measured: a relaxed BaTeC crystal at the PBE level of DFT.

a = 5.0433 Å, b = 6.5506 Å, c = 7.7153 Å
α = 118.81°, β = 90.00°, γ = 112.64°
Sites, in units of the cell vectors:
Te 0.4358 0.8717 0.2546
Te 0.5642 0.1283 0.7454
Ba 0.2624 0.5249 0.7162
Ba 0.7376 0.4751 0.2838
C 0.6355 0.2711 0.5396
C 0.3645 0.7289 0.4604

Output
- space group = C2/m (12)
- M_tot (μB per cell) = 0.00
- volume (Å³/f.u.) = 100.3
- total energy (eV per atom) = -4.425
- mass density (kg/m³) = 4584
- crystal system = monoclinic
- ΔE_f (raw) (eV/atom) = 0.338

=====

Record 11
Computed, not measured: a relaxed BaZn2TeC crystal at the PBE level of DFT.

a = 6.4987 Å, b = 4.9706 Å, c = 6.4987 Å
α = 90.00°, β = 90.00°, γ = 90.00°
Sites, in units of the cell vectors:
Ba 0.0000 0.0000 0.0000
C 0.0000 0.5000 0.0000
Zn 0.0000 0.0000 0.5000
Zn 0.5000 0.0000 0.0000
Te 0.5000 0.5000 0.5000

Output
- space group = P4/mmm (123)
- M_tot (μB per cell) = 2.88
- volume (Å³/f.u.) = 209.9
- total energy (eV per atom) = -1.874
- mass density (kg/m³) = 3225
- crystal system = tetragonal
- ΔE_f (raw) (eV/atom) = 1.493

=====

Record 12
Computed, not measured: a relaxed BaTh2C crystal at the PBE level of DFT.

a = 3.7073 Å, b = 3.7073 Å, c = 10.5108 Å
α = 79.84°, β = 79.84°, γ = 60.00°
Sites, in units of the cell vectors:
Ba 0.0000 0.0000 0.0000
C 0.5000 0.5000 0.5000
Th 0.1202 0.1202 0.6393
Th 0.8798 0.8798 0.3607

Output
- space group = R-3m (166)
- M_tot (μB per cell) = 0.00
- volume (Å³/f.u.) = 122.5
- total energy (eV per atom) = -6.502
- mass density (kg/m³) = 8316
- crystal system = trigonal

=====

Record 13
Computed, not measured: a relaxed Ba2TiC crystal at the PBE level of DFT.

a = 11.5107 Å, b = 11.5107 Å, c = 8.3987 Å
α = 46.74°, β = 46.74°, γ = 90.00°
Sites, in units of the cell vectors:
C 0.5000 0.5000 0.0000
C 0.2500 0.7500 0.5000
Ba 0.3750 0.5553 0.7500
Ba 0.8750 0.6947 0.7500
Ba 0.4447 0.1250 0.2500
Ba 0.3053 0.6250 0.2500
Ti 0.7500 0.2500 0.5000
Ti 0.0000 0.0000 0.0000

Output
- space group = I-42d (122)
- M_tot (μB per cell) = 2.62
- volume (Å³/f.u.) = 137.2
- total energy (eV per atom) = -4.772
- mass density (kg/m³) = 4048
- crystal system = tetragonal

=====

Record 14
Computed, not measured: a relaxed BaTi3C crystal at the PBE level of DFT.

a = 4.4700 Å, b = 4.4700 Å, c = 4.4700 Å
α = 90.00°, β = 90.00°, γ = 90.00°
Sites, in units of the cell vectors:
Ti 0.5000 0.0000 0.0000
Ti 0.0000 0.5000 0.0000
Ti 0.0000 0.0000 0.5000
C 0.0000 0.0000 0.0000
Ba 0.5000 0.5000 0.5000

Output
- space group = Pm-3m (221)
- energy above the most stable polymorph in this dataset (eV/f.u.) = 0.00
- M_tot (μB per cell) = 0.00
- volume (Å³/f.u.) = 89.3
- total energy (eV per atom) = -6.565
- mass density (kg/m³) = 5446
- crystal system = cubic